Computed, not measured: a geometry-optimized KSc2BiAu structure at the PBE-GGA level of DFT.

The structure in POSCAR format:
```
KSc2BiAu
1.0
-1.920 2.142 4.432
-5.310 0.549 -2.566
-1.339 -4.805 1.742
Sc K Au Bi
2 1 1 1
direct
0.000 0.000 0.500
0.500 0.000 0.000
0.500 0.500 0.500
0.000 0.000 0.000
0.000 0.500 0.000
```

Computed properties:
For the formation energy, the calculation gives 9.7 kJ/mol of atoms. The value obtained for the total DFT energy (no corrections) is -20.4 eV per formula unit. Its space group is P4/mmm.

Computed, not measured: a geometry-optimized AlHgSb2 structure at the PBE-GGA level of DFT.

The structure in POSCAR format:
```
AlHgSb2
1.0
11.071 0.006 0.004
10.548 3.362 0.004
10.548 1.643 2.933
Sb Hg Al
2 1 1
direct
0.982 0.982 0.982
0.518 0.518 0.518
0.750 0.750 0.750
0.250 0.250 0.250
```

Computed properties:
The value obtained for the total DFT energy (no corrections) is -11.9 eV per formula unit. Its space group is R-3m.

Computed, not measured: a geometry-optimized Pu6OsRh2 structure at the PBE-GGA level of DFT.

The structure in POSCAR format:
```
Pu6OsRh2
1.0
7.507 -0.456 -2.584
-4.301 6.399 -1.948
0.063 0.456 7.939
Pu Os Rh
12 2 4
direct
0.509 0.709 0.800
0.491 0.291 0.200
0.091 0.291 0.800
0.909 0.709 0.200
0.806 0.764 0.570
0.194 0.236 0.430
0.194 0.764 0.958
0.806 0.236 0.042
0.768 0.466 0.698
0.232 0.534 0.302
0.232 0.930 0.698
0.768 0.070 0.302
0.000 0.500 0.500
0.000 0.000 0.000
0.500 0.351 0.851
0.500 0.649 0.149
0.644 0.000 0.644
0.356 0.000 0.356
```

Computed properties:
For the formation energy, the calculation gives -7.3 kJ/mol of atoms. The value obtained for the total DFT energy (no corrections) is -112.6 eV per formula unit. Its space group is Immm.

Computed, not measured: a geometry-optimized CuSi2As structure at the PBE-GGA level of DFT.

The structure in POSCAR format:
```
CuSi2As
1.0
-2.646 1.565 -1.316
0.492 -1.093 -2.289
-4.530 -5.122 3.017
As Cu Si
1 1 2
direct
0.000 0.446 0.510
0.500 0.579 0.784
0.000 0.174 0.972
0.500 0.302 0.235
```

Computed properties:
The value obtained for the total DFT energy (no corrections) is -18.6 eV per formula unit. Its space group is Pm.

Number 1: size of the total moment 0.00 Bohr magnetons per cell, relative energy among the computed polymorphs 0.0 meV/atom. Number 2: size of the total moment 0.00 Bohr magnetons per cell, relative energy among the computed polymorphs 48.1 meV/atom. Number 3: size of the total moment 19.13 Bohr magnetons per cell, relative energy among the computed polymorphs 0.0 meV/atom. Number 4: size of the total moment 0.00 Bohr magnetons per cell, relative energy among the computed polymorphs 32.4 meV/atom.